## TiSe2I (PBE-GGA)

Data for an optimized crystal structure of TiSe2I.

extended XYZ file:
```
4
Lattice="-2.311 -4.236 -1.119 -1.691 -2.929 3.619 -4.875 -0.436 0.759" Properties=species:S:1:pos:R:3 pbc="T T T"
Se -6.658 -5.701 2.444
Se -2.219 -1.900 0.815
Ti 0.000 0.000 0.000
I -4.439 -3.801 1.629
```

Computed properties:
Space-group type: Fm-3m
Formation energy without anion corrections, eV/atom: 0.193

---

## Re2TeW (PBE-GGA)

Data for an optimized crystal structure of Re2TeW.

extended XYZ file:
```
4
Lattice="-2.376 0.362 3.882 -4.560 0.196 -0.125 -2.478 -3.530 1.497" Properties=species:S:1:pos:R:3 pbc="T T T"
Te -4.707 -1.486 2.627
W -7.060 -2.230 3.940
Re 0.000 0.000 0.000
Re -2.353 -0.743 1.313
```

Computed properties:
Space-group type: F-43m
Formation energy without anion corrections, eV/atom: 0.811

---

## Tb7Pr6Er16 (PBE-GGA)

Data for an optimized crystal structure of Tb7Pr6Er16.

extended XYZ file:
```
29
Lattice="9.670 0.000 5.583 3.223 9.117 5.583 0.000 0.000 11.166" Properties=species:S:1:pos:R:3 pbc="T T T"
Tb 6.446 4.558 5.583
Tb 4.835 0.000 2.791
Er 11.240 7.948 19.468
Tb 0.000 0.000 5.583
Tb 1.612 4.558 2.791
Pr 9.430 6.668 11.166
Pr 7.938 2.449 8.582
Er 11.240 7.948 14.029
Er 10.330 3.185 11.166
Er 6.363 1.169 5.583
Er 9.670 3.507 16.748
Er 2.563 5.931 11.166
Er 4.505 3.185 14.529
Er 4.505 3.185 7.802
Er 6.446 0.439 11.166
Er 1.653 1.169 8.302
Er 6.530 7.948 16.748
Tb 0.000 0.000 0.000
Pr 7.938 2.449 13.749
Er 8.388 5.931 14.529
Er 3.223 5.610 5.583
Tb 4.835 0.000 8.374
Tb 1.612 4.558 8.374
Er 1.653 1.169 2.863
Er 6.446 8.677 11.166
Er 8.388 5.931 7.802
Pr 3.463 2.449 11.166
Pr 4.955 6.668 8.582
Pr 4.955 6.668 13.749
```

Computed properties:
Formation energy from the elements, eV/atom: 0.237
Space-group type: Fm-3m

---

## ErMgIr2 (PBE-GGA)

Data for an optimized crystal structure of ErMgIr2.

extended XYZ file:
```
4
Lattice="-1.174 -2.101 2.302 3.271 -3.011 -1.081 2.763 1.880 3.125" Properties=species:S:1:pos:R:3 pbc="T T T"
Ir 1.382 0.940 1.563
Er 2.430 -1.617 2.173
Ir 1.636 -1.506 -0.541
Mg -0.587 -1.051 1.151
```

Computed properties:
Formation energy from the elements, eV/atom: -0.600
Space-group type: P4/mmm

---

## DyU3As4 (PBE-GGA)

Data for an optimized crystal structure of DyU3As4.

extended XYZ file:
```
8
Lattice="-3.751 0.732 -1.346 0.327 -5.823 -4.079 -2.634 -1.787 6.366" Properties=species:S:1:pos:R:3 pbc="T T T"
U -3.029 -3.439 0.470
As -2.288 -4.449 -2.145
U 0.164 -2.911 -2.040
As -1.728 -5.702 1.713
As -3.770 -2.428 3.085
Dy -1.876 0.366 -0.673
U -1.317 -0.893 3.183
As -0.578 -1.908 0.573
```

Computed properties:
Formation energy from the elements, eV/atom: -0.928
Space-group type: Cmmm

---

## AcEuHgSb (PBE-GGA)

Data for an optimized crystal structure of AcEuHgSb.

extended XYZ file:
```
4
Lattice="-2.807 -3.368 3.577 1.301 -5.497 0.320 2.595 -2.030 4.601" Properties=species:S:1:pos:R:3 pbc="T T T"
Eu 0.817 -8.171 6.373
Sb 0.000 0.000 0.000
Ac 0.272 -2.724 2.124
Hg 0.544 -5.447 4.249
```

Computed properties:
Space-group type: F-43m
Formation energy without anion corrections, eV/atom: -0.703

---

Please write out number 6 again, unchanged.
## AcEuHgSb (PBE-GGA)

Data for an optimized crystal structure of AcEuHgSb.

extended XYZ file:
```
4
Lattice="-2.807 -3.368 3.577 1.301 -5.497 0.320 2.595 -2.030 4.601" Properties=species:S:1:pos:R:3 pbc="T T T"
Eu 0.817 -8.171 6.373
Sb 0.000 0.000 0.000
Ac 0.272 -2.724 2.124
Hg 0.544 -5.447 4.249
```

Computed properties:
Space-group type: F-43m
Formation energy without anion corrections, eV/atom: -0.703